# 1
# YMn2AsPd, relaxed, DFT PBE-GGA
# Volume, A^3/atom: 22.03
# M_tot, μB per atom: 0.035
# ΔH_f (0 K), meV/atom: 1003
data_YMn2AsPd
_symmetry_space_group_name_H-M 'P 4/m m m'
_symmetry_Int_Tables_number 123
_symmetry_space_group_name_Hall '-P 4 2'
_cell_length_a 4.533
_cell_length_b 4.533
_cell_length_c 5.362
_cell_angle_alpha 90.00
_cell_angle_beta 90.00
_cell_angle_gamma 90.00
loop_
_atom_site_label
_atom_site_fract_x
_atom_site_fract_y
_atom_site_fract_z
_atom_site_occupancy
Y1 0.000 0.000 0.000 1
Mn1 0.000 0.500 0.500 1
As1 0.500 0.500 0.000 1
Pd1 0.000 0.000 0.500 1

# 2
# PmMnAs3, relaxed, DFT PBE-GGA
# Volume, A^3/atom: 21.75
# M_tot, μB per atom: 0.593
# ΔH_f (0 K), meV/atom: -309
# Offset from the most stable computed form, eV per atom: 0.385
data_PmMnAs3
_symmetry_space_group_name_H-M 'P m -3 m'
_symmetry_Int_Tables_number 221
_symmetry_space_group_name_Hall '-P 4 2 3'
_cell_length_a 4.773
_cell_length_b 4.773
_cell_length_c 4.773
_cell_angle_alpha 90.00
_cell_angle_beta 90.00
_cell_angle_gamma 90.00
loop_
_atom_site_label
_atom_site_fract_x
_atom_site_fract_y
_atom_site_fract_z
_atom_site_occupancy
Pm1 0.000 0.000 0.000 1
Mn1 0.500 0.500 0.500 1
As1 0.000 0.500 0.500 1

# 3
# PmMnAs3, relaxed, DFT PBE-GGA
# Volume, A^3/atom: 19.77
# M_tot, μB per atom: 0.485
# ΔH_f (0 K), meV/atom: -694
# Offset from the most stable computed form, eV per atom: 0.000
data_PmMnAs3
_symmetry_space_group_name_H-M 'P b c m'
_symmetry_Int_Tables_number 57
_cell_length_a 12.369
_cell_length_b 5.706
_cell_length_c 5.601
_cell_angle_alpha 90.00
_cell_angle_beta 90.00
_cell_angle_gamma 90.00
loop_
_symmetry_equiv_pos_as_xyz
'x,y,z'
'-x,-y,-z'
'-x,-y,z+1/2'
'x,y,-z+1/2'
'x,-y+1/2,-z'
'-x,y+1/2,z'
'-x,y+1/2,-z+1/2'
'x,-y+1/2,z+1/2'
loop_
_atom_site_label
_atom_site_fract_x
_atom_site_fract_y
_atom_site_fract_z
_atom_site_occupancy
Pm1 0.190 0.004 0.250 1
Mn1 0.415 0.750 0.000 1
As1 0.001 0.750 0.000 1
As2 0.286 0.505 0.250 1
As3 0.433 0.108 0.250 1

# 4
# Pm2MnAs3Pt4, relaxed, DFT PBE-GGA
# Volume, A^3/atom: 19.34
# M_tot, μB per atom: 0.388
# ΔH_f (0 K), meV/atom: -804
data_Pm2MnAs3Pt4
_symmetry_space_group_name_H-M 'P -4 m 2'
_symmetry_Int_Tables_number 115
_cell_length_a 4.263
_cell_length_b 4.263
_cell_length_c 10.641
_cell_angle_alpha 90.00
_cell_angle_beta 90.00
_cell_angle_gamma 90.00
loop_
_symmetry_equiv_pos_as_xyz
'x,y,z'
'y,-x,-z'
'-x,-y,z'
'-y,x,-z'
'-x,y,z'
'-y,-x,-z'
'x,-y,z'
'y,x,-z'
loop_
_atom_site_label
_atom_site_fract_x
_atom_site_fract_y
_atom_site_fract_z
_atom_site_occupancy
Pm1 0.000 0.500 0.237 1
Mn1 0.000 0.000 0.500 1
As1 0.000 0.500 0.864 1
As2 0.500 0.500 0.500 1
Pt1 0.000 0.000 0.000 1
Pt2 0.000 0.500 0.635 1
Pt3 0.500 0.500 0.000 1